[1]
GGA-PBE Mg2ReRu, optimized geometry; energy relative to the elements = 1.298 eV/f.u.; calculated total energy = -5.90 eV per atom; Fermi-level density of states = 0.739 states/eV/atom; energy above the most stable polymorph in this dataset = 313 meV/atom; space-group type = P4/mmm, No. 123
1.0
-2.5872 0.3585 -3.5090
1.1790 -3.4060 -1.2173
-2.8319 -1.6657 1.9178
Ru Mg Re
1 2 1
Cartesian
-2.7096 -0.6536 -0.7956
-0.8264 -2.5359 0.3503
0.0000 0.0000 0.0000
-0.7041 -1.5237 -2.3632

***

[2]
GGA-PBE Pr6CdIn5, optimized geometry; energy relative to the elements = -3.333 eV/f.u.; calculated total energy = -3.88 eV per atom; Fermi-level density of states = 0.783 states/eV/atom; energy above the most stable polymorph in this dataset = 191 meV/atom; space-group type = C2/m, No. 12
1.0
10.0394 -0.7894 0.0000
1.9338 6.4255 0.0000
0.9669 3.2128 5.8406
Cd In Pr
1 5 6
Cartesian
0.0000 0.0000 0.0000
5.9866 2.8181 0.0000
0.9669 3.2128 2.2722
5.9866 2.8181 4.2021
1.9338 6.4255 3.5684
6.9535 6.0308 1.6385
9.1602 4.0826 0.0000
7.9214 1.1135 1.9855
2.8130 1.5535 0.0000
4.0518 4.5226 1.9855
5.0188 7.7354 3.8551
8.8883 4.3262 3.8551